Entry 1:
The following is a DFT calculation (PBE) of a geometry-optimized AcTb4Dy8 structure.

a = 6.1789 Å, b = 6.1789 Å, c = 12.6679 Å
α = 106.48°, β = 91.82°, γ = 110.69°
With the nearest neighbours (Å) after each atom.
Fractional positions:
Ac: 0.0000 0.5000 0.5000  10 Dy 3.52-3.83
Tb: 0.2582 0.2582 0.0000  6 Tb 3.40-3.63, 6 Dy 3.46-3.65
Tb: 0.7418 0.7418 0.0000  6 Tb 3.40-3.63, 6 Dy 3.46-3.65
Tb: 0.2829 0.8608 0.1437  4 Tb 3.49-3.60, 8 Dy 3.51-3.59
Tb: 0.7171 0.1392 0.8563  4 Tb 3.49-3.60, 8 Dy 3.51-3.59
Dy: 0.8253 0.9343 0.2883  4 Dy 3.31-3.51, 3 Tb 3.46-3.59, 1 Ac 3.52
Dy: 0.3540 0.4630 0.2883  4 Dy 3.31-3.51, 3 Tb 3.46-3.59, 1 Ac 3.52
Dy: 0.8079 0.3464 0.1543  4 Dy 3.47-3.51, 7 Tb 3.52-3.65
Dy: 0.3495 0.0863 0.4358  3 Dy 3.07-3.37
Dy: 0.6505 0.9137 0.5642  3 Dy 3.07-3.37
Dy: 0.1921 0.6536 0.8457  4 Dy 3.47-3.51, 7 Tb 3.52-3.65
Dy: 0.6460 0.5370 0.7117  4 Dy 3.31-3.51, 3 Tb 3.46-3.59, 1 Ac 3.52
Dy: 0.1747 0.0657 0.7117  4 Dy 3.31-3.51, 3 Tb 3.46-3.59, 1 Ac 3.52

Results
* symmetry: C2/m, No. 12
* spin magnetization: 0.000 μB per atom
* DFT total energy: -4.470 eV per atom
* DOS at the Fermi energy: 1.440 states/eV per atom

***

Entry 2:
The following is a DFT calculation (PBE) of a geometry-optimized AcTb3Dy6 structure.

a = 9.8694 Å, b = 9.8694 Å, c = 6.9669 Å
α = 44.90°, β = 44.90°, γ = 60.00°
With the nearest neighbours (Å) after each atom.
Fractional positions:
Ac: 0.8999 0.8999 0.3004  2 Tb 3.15, 3 Dy 3.40
Tb: 0.3998 0.3998 0.8007  2 Tb 2.86
Tb: 0.6379 0.6379 0.0864  1 Tb 2.86, 1 Ac 3.15
Tb: 0.1616 0.1616 0.5153  1 Tb 2.86, 1 Ac 3.15
Dy: 0.9002 0.5559 0.2997  2 Tb 3.35, 1 Ac 3.40
Dy: 0.2443 0.9002 0.2997  2 Tb 3.35, 1 Ac 3.40
Dy: 0.5559 0.2443 0.2997  2 Tb 3.35, 1 Ac 3.40
Dy: 0.0674 0.4002 0.7994  3 Tb 3.29-3.49
Dy: 0.7331 0.0674 0.7994  3 Tb 3.29-3.49
Dy: 0.4002 0.7331 0.7994  3 Tb 3.29-3.49

Results
* symmetry: R32, No. 155
* spin magnetization: 0.000 μB per atom
* DFT total energy: -4.243 eV per atom
* DOS at the Fermi energy: 2.141 states/eV per atom

***

Entry 3:
The following is a DFT calculation (PBE) of a geometry-optimized AcTb12Dy2 structure.

a = 6.6779 Å, b = 6.6779 Å, c = 25.0628 Å
α = 83.31°, β = 83.31°, γ = 114.82°
With the nearest neighbours (Å) after each atom.
Fractional positions:
Ac: 0.5000 0.0000 0.0000  10 Tb 3.50-3.85, 2 Ac 3.60
Ac: 0.0000 0.5000 0.0000  10 Tb 3.50-3.85, 2 Ac 3.60
Tb: 0.4022 0.4022 0.7956  3 Tb 3.11-3.19
Tb: 0.9022 0.9022 0.7956  3 Tb 3.11-3.19
Tb: 0.5579 0.5579 0.9220  9 Tb 3.57-3.82, 4 Ac 3.84-3.85
Tb: 0.1057 0.6057 0.8571  2 Tb 3.19, 1 Ac 3.50
Tb: 0.0032 0.0032 0.3314  3 Tb 3.11-3.31
Tb: 0.3943 0.8943 0.1429  2 Tb 3.19, 1 Ac 3.50
Tb: 0.8182 0.3182 0.5734  8 Tb 3.37-3.65
Tb: 0.5032 0.5032 0.3314  3 Tb 3.11-3.31
Tb: 0.0579 0.0579 0.9220  9 Tb 3.57-3.82, 4 Ac 3.84-3.85
Tb: 0.9421 0.9421 0.0780  9 Tb 3.57-3.82, 4 Ac 3.84-3.85
Tb: 0.3320 0.3320 0.5550  10 Tb 3.22-3.60
Tb: 0.6818 0.1818 0.4266  8 Tb 3.37-3.65
Tb: 0.9968 0.9968 0.6686  3 Tb 3.11-3.31
Tb: 0.1680 0.1680 0.4450  10 Tb 3.22-3.60
Tb: 0.4421 0.4421 0.0780  9 Tb 3.57-3.82, 4 Ac 3.84-3.85
Tb: 0.6680 0.6680 0.4450  10 Tb 3.22-3.60
Tb: 0.8320 0.8320 0.5550  10 Tb 3.22-3.60
Tb: 0.0978 0.0978 0.2044  3 Tb 3.11-3.19
Tb: 0.3182 0.8182 0.5734  8 Tb 3.37-3.65
Tb: 0.4968 0.4968 0.6686  3 Tb 3.11-3.31
Tb: 0.6057 0.1057 0.8571  2 Tb 3.19, 1 Ac 3.50
Tb: 0.5978 0.5978 0.2044  3 Tb 3.11-3.19
Tb: 0.1818 0.6818 0.4266  8 Tb 3.37-3.65
Tb: 0.8943 0.3943 0.1429  2 Tb 3.19, 1 Ac 3.50
Dy: 0.5453 0.0453 0.2750  2 Dy 3.60, 10 Tb 3.61-3.76
Dy: 0.0453 0.5453 0.2750  2 Dy 3.60, 10 Tb 3.61-3.76
Dy: 0.9547 0.4547 0.7250  2 Dy 3.60, 10 Tb 3.61-3.76
Dy: 0.4547 0.9547 0.7250  2 Dy 3.60, 10 Tb 3.61-3.76

Results
* symmetry: P2/m, No. 10
* spin magnetization: 0.000 μB per atom
* DFT total energy: -4.479 eV per atom
* DOS at the Fermi energy: 1.557 states/eV per atom

***

Entry 4:
The following is a DFT calculation (PBE) of a geometry-optimized AcTb6Dy3 structure.

a = 9.8723 Å, b = 9.8723 Å, c = 6.9805 Å
α = 45.00°, β = 45.00°, γ = 60.00°
With the nearest neighbours (Å) after each atom.
Fractional positions:
Ac: 0.8998 0.8998 0.3005  2 Dy 3.16, 3 Tb 3.40
Tb: 0.9001 0.5557 0.2997  2 Dy 3.35, 1 Ac 3.40
Tb: 0.2445 0.9001 0.2997  2 Dy 3.35, 1 Ac 3.40
Tb: 0.5557 0.2445 0.2997  2 Dy 3.35, 1 Ac 3.40
Tb: 0.0668 0.4001 0.7995  3 Dy 3.29-3.49
Tb: 0.7336 0.0668 0.7995  3 Dy 3.29-3.49
Tb: 0.4001 0.7336 0.7995  3 Dy 3.29-3.49
Dy: 0.3998 0.3998 0.8006  2 Dy 2.88
Dy: 0.6381 0.6381 0.0857  1 Dy 2.88, 1 Ac 3.16
Dy: 0.1614 0.1614 0.5157  1 Dy 2.88, 1 Ac 3.16

Results
* symmetry: R32, No. 155
* spin magnetization: 0.000 μB per atom
* DFT total energy: -4.261 eV per atom
* DOS at the Fermi energy: 2.112 states/eV per atom

***

Entry 5:
The following is a DFT calculation (PBE) of a geometry-optimized AcTb5Dy2 structure.

a = 5.0824 Å, b = 7.2297 Å, c = 14.4577 Å
α = 90.00°, β = 90.00°, γ = 90.00°
With the nearest neighbours (Å) after each atom.
Fractional positions:
Ac: 0.0000 0.0000 0.5000  8 Tb 3.61-3.66, 4 Dy 3.64
Ac: 0.0000 0.5000 0.0000  8 Tb 3.61-3.66, 4 Dy 3.64
Tb: 0.0000 0.0000 0.0000  6 Tb 3.57-3.61, 2 Ac 3.61, 4 Dy 3.62
Tb: 0.0000 0.5000 0.5000  6 Tb 3.57-3.61, 2 Ac 3.61, 4 Dy 3.62
Tb: 0.0000 0.4991 0.7467  4 Dy 3.55-3.62, 7 Tb 3.55-3.62, 1 Ac 3.66
Tb: 0.0000 0.5009 0.2533  4 Dy 3.55-3.62, 7 Tb 3.55-3.62, 1 Ac 3.66
Tb: 0.0000 0.0009 0.2467  4 Dy 3.55-3.62, 7 Tb 3.55-3.62, 1 Ac 3.66
Tb: 0.0000 0.9991 0.7533  4 Dy 3.55-3.62, 7 Tb 3.55-3.62, 1 Ac 3.66
Tb: 0.5000 0.2459 0.8720  4 Dy 3.53-3.70, 6 Tb 3.55-3.62, 2 Ac 3.64
Tb: 0.5000 0.7541 0.1280  4 Dy 3.53-3.70, 6 Tb 3.55-3.62, 2 Ac 3.64
Tb: 0.5000 0.2541 0.3720  4 Dy 3.53-3.70, 6 Tb 3.55-3.62, 2 Ac 3.64
Tb: 0.5000 0.7459 0.6280  4 Dy 3.53-3.70, 6 Tb 3.55-3.62, 2 Ac 3.64
Dy: 0.5000 0.2529 0.6280  10 Tb 3.53-3.70, 2 Ac 3.64
Dy: 0.5000 0.7471 0.3720  10 Tb 3.53-3.70, 2 Ac 3.64
Dy: 0.5000 0.2471 0.1280  10 Tb 3.53-3.70, 2 Ac 3.64
Dy: 0.5000 0.7529 0.8720  10 Tb 3.53-3.70, 2 Ac 3.64

Results
* symmetry: Pbam, No. 55
* spin magnetization: 0.000 μB per atom
* DFT total energy: -4.522 eV per atom
* DOS at the Fermi energy: 1.336 states/eV per atom

***

Entry 6:
The following is a DFT calculation (PBE) of a geometry-optimized Ac2Tb3Dy3 structure.

a = 3.7426 Å, b = 8.9449 Å, c = 17.6038 Å
α = 90.00°, β = 90.00°, γ = 102.08°
With the nearest neighbours (Å) after each atom.
Fractional positions:
Ac: 0.7487 0.4974 0.6046  4 Tb 3.43-3.76, 2 Ac 3.74
Ac: 0.2513 0.5026 0.1046  4 Tb 3.43-3.76, 2 Ac 3.74
Ac: 0.7487 0.4974 0.8954  4 Tb 3.43-3.76, 2 Ac 3.74
Ac: 0.2513 0.5026 0.3954  4 Tb 3.43-3.76, 2 Ac 3.74
Tb: 0.5911 0.1822 0.0410  5 Dy 3.32-3.68, 1 Tb 3.50, 2 Ac 3.55
Tb: 0.4089 0.8178 0.5410  5 Dy 3.32-3.68, 1 Tb 3.50, 2 Ac 3.55
Tb: 0.5911 0.1822 0.4590  5 Dy 3.32-3.68, 1 Tb 3.50, 2 Ac 3.55
Tb: 0.4089 0.8178 0.9590  5 Dy 3.32-3.68, 1 Tb 3.50, 2 Ac 3.55
Tb: 0.3819 0.7638 0.2500  5 Dy 3.24-3.61, 2 Ac 3.43
Tb: 0.6181 0.2362 0.7500  5 Dy 3.24-3.61, 2 Ac 3.43
Dy: 0.9547 0.9093 0.1182  6 Tb 3.24-3.46
Dy: 0.0453 0.0907 0.6182  6 Tb 3.24-3.46
Dy: 0.9547 0.9093 0.3818  6 Tb 3.24-3.46
Dy: 0.0453 0.0907 0.8818  6 Tb 3.24-3.46
Dy: 0.5881 0.1761 0.2500  3 Tb 3.61-3.68, 6 Dy 3.74-3.79
Dy: 0.4119 0.8239 0.7500  3 Tb 3.61-3.68, 6 Dy 3.74-3.79

Results
* symmetry: Cmcm, No. 63
* spin magnetization: 0.000 μB per atom
* DFT total energy: -4.326 eV per atom
* DOS at the Fermi energy: 1.381 states/eV per atom

***

Entry 7:
The following is a DFT calculation (PBE) of a geometry-optimized AcTb12Dy7 structure.

a = 9.8371 Å, b = 9.8371 Å, c = 9.8371 Å
α = 109.47°, β = 109.47°, γ = 109.47°
With the nearest neighbours (Å) after each atom.
Fractional positions:
Ac: 0.0000 0.0000 0.0000  12 Tb 4.20
Tb: 0.4772 0.7382 0.7390  2 Dy 2.85
Tb: 0.9993 0.7382 0.2610  2 Dy 2.85
Tb: 0.5228 0.2618 0.2610  2 Dy 2.85
Tb: 0.0007 0.2618 0.7390  2 Dy 2.85
Tb: 0.7390 0.0007 0.2618  2 Dy 2.85
Tb: 0.7390 0.4772 0.7382  2 Dy 2.85
Tb: 0.2610 0.9993 0.7382  2 Dy 2.85
Tb: 0.2610 0.5228 0.2618  2 Dy 2.85
Tb: 0.7382 0.7390 0.4772  2 Dy 2.85
Tb: 0.2618 0.2610 0.5228  2 Dy 2.85
Tb: 0.7382 0.2610 0.9993  2 Dy 2.85
Tb: 0.2618 0.7390 0.0007  2 Dy 2.85
Dy: 0.5000 0.5000 0.0000  12 Tb 3.83-4.03
Dy: 0.0000 0.5000 0.5000  12 Tb 3.83-4.03
Dy: 0.5000 0.0000 0.5000  12 Tb 3.83-4.03
Dy: 0.5000 0.5000 0.5000  6 Tb 2.85
Dy: 0.0000 0.0000 0.5000  6 Tb 2.85
Dy: 0.5000 0.0000 0.0000  6 Tb 2.85
Dy: 0.0000 0.5000 0.0000  6 Tb 2.85

Results
* symmetry: Im-3, No. 204
* spin magnetization: 0.000 μB per atom
* DFT total energy: -3.930 eV per atom
* DOS at the Fermi energy: 1.274 states/eV per atom

***

Entry 8:
The following is a DFT calculation (PBE) of a geometry-optimized AcTbDy structure.

a = 6.5203 Å, b = 6.5016 Å, c = 12.0215 Å
α = 90.00°, β = 90.00°, γ = 122.92°
With the nearest neighbours (Å) after each atom.
Fractional positions:
Ac: 0.8433 0.2601 0.1333  5 Dy 3.61-3.76, 5 Tb 3.65-3.75, 1 Ac 3.84
Ac: 0.1567 0.2399 0.8667  5 Dy 3.61-3.76, 5 Tb 3.65-3.75, 1 Ac 3.84
Ac: 0.3433 0.7601 0.3667  5 Dy 3.61-3.76, 5 Tb 3.65-3.75, 1 Ac 3.84
Ac: 0.6567 0.7399 0.6333  5 Dy 3.61-3.76, 5 Tb 3.65-3.75, 1 Ac 3.84
Tb: 0.4880 0.9234 0.8863  4 Dy 3.52-3.65, 1 Tb 3.60, 5 Ac 3.65-3.75
Tb: 0.5120 0.5766 0.1137  4 Dy 3.52-3.65, 1 Tb 3.60, 5 Ac 3.65-3.75
Tb: 0.9880 0.4234 0.6137  4 Dy 3.52-3.65, 1 Tb 3.60, 5 Ac 3.65-3.75
Tb: 0.0120 0.0766 0.3863  4 Dy 3.52-3.65, 1 Tb 3.60, 5 Ac 3.65-3.75
Dy: 0.1589 0.9274 0.1177  4 Tb 3.52-3.65, 1 Dy 3.52, 5 Ac 3.61-3.76
Dy: 0.8411 0.5726 0.8823  4 Tb 3.52-3.65, 1 Dy 3.52, 5 Ac 3.61-3.76
Dy: 0.6589 0.4274 0.3823  4 Tb 3.52-3.65, 1 Dy 3.52, 5 Ac 3.61-3.76
Dy: 0.3411 0.0726 0.6177  4 Tb 3.52-3.65, 1 Dy 3.52, 5 Ac 3.61-3.76

Results
* symmetry: P2_1/c, No. 14
* spin magnetization: 0.000 μB per atom
* DFT total energy: -4.378 eV per atom
* DOS at the Fermi energy: 1.245 states/eV per atom